Below is an optimized crystal structure of EuFeO2, with properties calculated at the PBE with a Hubbard U level.

```
data_EuFeO2
_chemical_formula_sum 'Eu3 Fe3 O6'
_space_group_name_H-M_alt 'R -3 m'
_space_group_IT_number 166
_space_group_name_Hall '-R 3 2"'
_cell_length_a 3.3941
_cell_length_b 3.3941
_cell_length_c 15.9349
_cell_angle_alpha 90.00
_cell_angle_beta 90.00
_cell_angle_gamma 120.00
loop_
_atom_site_label
_atom_site_type_symbol
_atom_site_fract_x
_atom_site_fract_y
_atom_site_fract_z
Eu1 Eu 0.0000 0.0000 0.0000
Fe1 Fe 0.0000 0.0000 0.5000
O1 O 0.0000 0.0000 0.2385
```

Computed properties:
- M_tot (Bohr magnetons per cell) = 9.00
- calculated total energy (eV/atom) = -8.441
- density of states at the Fermi level (states/eV/atom) = 1.353
- E above lowest polymorph (kJ/mol of atoms) = 0.0